[1]
A relaxed structure of TcAgOs2. Source: the Alexandria database, functional PBE-GGA.

The structure in POSCAR format:
```
TcAgOs2
1.0
2.698 0.004 0.000
-1.247 2.392 0.000
0.000 0.000 9.603
Ag Os Tc
1 2 1
direct
0.500 0.500 0.749
0.500 0.500 0.252
0.000 0.000 0.014
0.000 0.000 0.485
```

Computed properties:
Energy   -33.25 eV for the cell shown
Fermi-level density of states   4.60 states/eV/f.u.
Total magnetization   0.00 μB per formula unit
Energy above the most stable polymorph in this dataset   337 meV/atom
SG   Cmm2



[2]
A relaxed structure of TcAgOs2. Source: the Alexandria database, functional PBE-GGA.

The structure in POSCAR format:
```
TcAgOs2
1.0
-0.027 -1.544 2.273
2.748 0.023 0.048
-0.135 6.663 4.526
Tc Ag Os
1 1 2
direct
0.500 0.500 0.250
0.500 0.500 0.750
0.000 0.000 0.019
0.000 0.000 0.481
```

Computed properties:
Energy   -33.91 eV for the cell shown
Fermi-level density of states   5.23 states/eV/f.u.
Total magnetization   0.00 μB per formula unit
Energy above the most stable polymorph in this dataset   173 meV/atom
SG   P4/mmm



[3]
A relaxed structure of TcAg2Os. Source: the Alexandria database, functional PBE-GGA.

The structure in POSCAR format:
```
TcAg2Os
1.0
4.487 0.000 0.000
2.244 3.886 0.000
2.244 1.295 3.664
Tc Ag Os
1 2 1
direct
0.250 0.250 0.250
0.750 0.750 0.750
0.000 0.000 0.000
0.500 0.500 0.500
```

Computed properties:
Energy   -24.22 eV for the cell shown
Fermi-level density of states   4.85 states/eV/f.u.
Total magnetization   0.00 μB per formula unit
Energy above the most stable polymorph in this dataset   507 meV/atom
SG   F-43m



[4]
A relaxed structure of TcAgOs2. Source: the Alexandria database, functional PBE-GGA.

The structure in POSCAR format:
```
TcAgOs2
1.0
-0.689 2.481 0.816
-1.682 -1.273 -1.688
-4.662 -3.754 7.477
Ag Tc Os
1 1 2
direct
0.500 0.500 0.750
0.500 0.500 0.250
0.000 0.000 0.016
0.000 0.000 0.484
```

Computed properties:
Energy   -33.42 eV for the cell shown
Fermi-level density of states   3.78 states/eV/f.u.
Total magnetization   0.00 μB per formula unit
Energy above the most stable polymorph in this dataset   294 meV/atom
SG   Cmmm



Q: Which of these has the highest energy above the most stable polymorph in this dataset?
A: TcAg2Os